(1)
Computed, not measured: crystalline LiCdIn at its relaxed geometry at the GGA-PBE level of DFT.

Summary:
calculated density = 6.0 g/cm³
energy above the most stable polymorph in this dataset = 23 meV/atom
DFT formation energy = -169 meV per atom
total magnetic moment = 0.00 μB per formula unit

Structure (CIF):
```
data_LiCdIn
_symmetry_space_group_name_H-M 'P 3 m 1'
_symmetry_Int_Tables_number 156
_cell_length_a 4.8005
_cell_length_b 4.8005
_cell_length_c 3.2350
_cell_angle_alpha 90.00
_cell_angle_beta 90.00
_cell_angle_gamma 120.00
loop_
_symmetry_equiv_pos_as_xyz
'x,y,z'
'-y,x-y,z'
'-x+y,-x,z'
'-y,-x,z'
'-x+y,y,z'
'x,x-y,z'
loop_
_atom_site_label
_atom_site_type_symbol
_atom_site_fract_x
_atom_site_fract_y
_atom_site_fract_z
_atom_site_occupancy
Li1 Li 0.0000 0.0000 0.0000 1
Cd1 Cd 0.3333 0.6667 0.3262 1
In1 In 0.6667 0.3333 0.6388 1
```



(2)
Computed, not measured: crystalline Li2Zn2AgPd2 at its relaxed geometry at the GGA-PBE level of DFT.

Summary:
calculated density = 7.2 g/cm³
DFT formation energy = -336 meV per atom
total magnetic moment = 0.00 μB per formula unit

Structure (CIF):
```
data_Li2Zn2AgPd2
_symmetry_space_group_name_H-M 'C 1 2/m 1'
_symmetry_Int_Tables_number 12
_cell_length_a 7.557
_cell_length_b 4.354
_cell_length_c 7.019
_cell_angle_alpha 90.00
_cell_angle_beta 111.16
_cell_angle_gamma 90.00
loop_
_symmetry_equiv_pos_as_xyz
'x,y,z'
'-x,-y,-z'
'-x,y,-z'
'x,-y,z'
'x+1/2,y+1/2,z'
'-x+1/2,-y+1/2,-z'
'-x+1/2,y+1/2,-z'
'x+1/2,-y+1/2,z'
loop_
_atom_site_label
_atom_site_type_symbol
_atom_site_fract_x
_atom_site_fract_y
_atom_site_fract_z
_atom_site_occupancy
Li1 Li 0.094 0.000 0.282 1
Zn1 Zn 0.135 0.500 0.902 1
Ag1 Ag 0.000 0.500 0.500 1
Pd1 Pd 0.237 0.000 0.712 1
```



(3)
Computed, not measured: crystalline Pm12Al2Sn5 at its relaxed geometry at the GGA-PBE level of DFT.

Summary:
calculated density = 6.1 g/cm³
DFT formation energy = -314 meV per atom
total magnetic moment = 0.00 μB per formula unit

Structure (CIF):
```
data_Pm12Al2Sn5
_symmetry_space_group_name_H-M 'C 1 2/m 1'
_symmetry_Int_Tables_number 12
_cell_length_a 17.726
_cell_length_b 7.464
_cell_length_c 10.039
_cell_angle_alpha 90.00
_cell_angle_beta 102.68
_cell_angle_gamma 90.00
loop_
_symmetry_equiv_pos_as_xyz
'x,y,z'
'-x,-y,-z'
'-x,y,-z'
'x,-y,z'
'x+1/2,y+1/2,z'
'-x+1/2,-y+1/2,-z'
'-x+1/2,y+1/2,-z'
'x+1/2,-y+1/2,z'
loop_
_atom_site_label
_atom_site_type_symbol
_atom_site_fract_x
_atom_site_fract_y
_atom_site_fract_z
_atom_site_occupancy
Pm1 Pm 0.010 0.000 0.287 1
Pm2 Pm 0.024 0.500 0.824 1
Pm3 Pm 0.150 0.251 0.572 1
Pm4 Pm 0.170 0.249 0.100 1
Al1 Al 0.000 0.174 0.000 1
Sn1 Sn 0.000 0.500 0.500 1
Sn2 Sn 0.174 0.000 0.835 1
Sn3 Sn 0.201 0.000 0.359 1
```